VASP calculation (PBE) on a geometry-optimized CoAs2Pb structure.

Results
V	77.6	Å³/f.u.
crystal system	cubic
E_tot	-17.7	eV for the cell shown

```
CoAs2Pb
1.0
0.0000 3.3848 3.3848
3.3848 0.0000 3.3848
3.3848 3.3848 0.0000
As Co Pb
2 1 1
Cartesian
5.0772 5.0772 5.0772 As
0.0000 0.0000 0.0000 As
1.6924 1.6924 1.6924 Co
3.3848 3.3848 3.3848 Pb
```



VASP calculation (PBE) on a geometry-optimized CoAsPd2 structure.

Results
V	57.2	Å³/f.u.
crystal system	cubic
E_tot	-22.2	eV for the cell shown

```
CoAsPd2
1.0
-0.9441 -4.2192 -0.0848
-3.6921 -1.4250 1.7431
-3.1752 -1.4543 -2.5502
Co Pd As
1 2 1
Cartesian
-1.9528 -1.7746 -0.2230 Co
0.0000 0.0000 0.0000 Pd
-5.8586 -5.3239 -0.6689 Pd
-3.9057 -3.5493 -0.4460 As
```



VASP calculation (PBE) on a geometry-optimized Co2AsPd structure.

Results
V	53.0	Å³/f.u.
crystal system	cubic
E_tot	-23.2	eV for the cell shown

```
Co2AsPd
1.0
0.0000 2.9813 2.9813
2.9813 0.0000 2.9813
2.9813 2.9813 0.0000
As Co Pd
1 2 1
Cartesian
2.9813 2.9813 2.9813 As
0.0000 0.0000 0.0000 Co
4.4719 4.4719 4.4719 Co
1.4906 1.4906 1.4906 Pd
```



VASP calculation (PBE) on a geometry-optimized CoAsPd structure.

Results
V	42.0	Å³/f.u.
crystal system	tetragonal
E_tot	-36.1	eV for the cell shown

```
CoAsPd
1.0
-0.7640 -0.7704 -3.5451
3.5644 -0.8339 -0.5870
-1.1129 -5.8152 1.5035
As Co Pd
2 2 2
Cartesian
1.5255 -1.7582 0.0533 As
-1.2382 -4.8591 -0.6158 As
1.4002 -0.8021 -2.0660 Co
0.0000 0.0000 0.0000 Co
1.0756 -4.1090 0.6611 Pd
-0.7883 -2.5083 -1.2236 Pd
```



VASP calculation (PBE) on a geometry-optimized CoAsPdPt structure.

Results
V	59.2	Å³/f.u.
crystal system	cubic
E_tot	-22.8	eV for the cell shown

```
CoAsPdPt
1.0
-4.2898 -0.4318 -0.7406
-2.8864 1.4855 2.9325
-2.4279 3.5231 -0.9114
Pt Pd Co As
1 1 1 1
Cartesian
-2.4010 1.1442 0.3201 Pt
-4.8020 2.2884 0.6402 Pd
-7.2030 3.4326 0.9604 Co
0.0000 0.0000 0.0000 As
```



VASP calculation (PBE) on a geometry-optimized ScCoAsPd structure.

Results
V	62.6	Å³/f.u.
crystal system	cubic
energy above the lowest structure with this stoichiometry	51	meV per atom
E_tot	-24.9	eV for the cell shown

```
ScCoAsPd
1.0
0.0000 3.1513 3.1513
3.1513 0.0000 3.1513
3.1513 3.1513 0.0000
Sc Co As Pd
1 1 1 1
Cartesian
1.5756 1.5756 1.5756 Sc
4.7269 4.7269 4.7269 Co
0.0000 0.0000 0.0000 As
3.1513 3.1513 3.1513 Pd
```